# 1
A PBEsol-optimized structure of Y7In, computed with SCAN.

```
Y7In
1.0
-6.324 2.624 0.996
-5.150 -4.099 2.131
-2.506 0.645 6.416
In Y
1 7
direct
0.000 0.000 0.000
0.500 0.500 0.000
0.500 0.500 0.500
0.500 0.000 0.500
0.000 0.000 0.500
0.500 0.000 0.000
0.000 0.500 0.000
0.000 0.500 0.500
```

Calculated values
Formation energy from the elements = -0.1087 eV per atom
Calculated total energy = -28.64 eV/atom
DOS(E_F) = 9.03 states/eV/f.u.
Magnetic moment = 0.0 μB/f.u.


# 2
A PBEsol-optimized structure of Li2CuSnF, computed with SCAN.

```
Li2CuSnF
1.0
4.639 0.000 0.000
0.000 5.410 0.000
0.000 0.000 5.410
F Li Sn Cu
1 2 1 1
direct
0.500 0.500 0.500
0.000 0.000 0.500
0.000 0.500 0.000
0.000 0.000 0.000
0.500 0.000 0.000
```

Calculated values
Calculated total energy = -11.94 eV/atom
DOS(E_F) = 4.18 states/eV/f.u.
Formation energy from raw total energies = -0.243 eV per formula unit
Magnetic moment = 0.7 μB/f.u.


# 3
A PBEsol-optimized structure of Zr4Ru, computed with SCAN.

```
Zr4Ru
1.0
-2.827 0.585 -1.524
1.158 0.031 -5.631
-2.407 -5.124 -0.996
Zr Ru
4 1
direct
0.222 0.192 0.364
0.778 0.808 0.636
0.586 0.636 0.192
0.414 0.364 0.808
0.000 0.000 0.000
```

Calculated values
Formation energy from the elements = -0.3028 eV per atom
Calculated total energy = -31.83 eV/atom
DOS(E_F) = 4.82 states/eV/f.u.
Magnetic moment = 0.0 μB/f.u.


# 4
A PBEsol-optimized structure of Al3Pb, computed with SCAN.

```
Al3Pb
1.0
3.135 0.000 0.000
1.568 2.715 0.000
1.568 0.905 9.712
Al Pb
3 1
direct
0.240 0.240 0.281
0.500 0.500 0.500
0.760 0.760 0.719
0.000 0.000 0.000
```

Calculated values
Formation energy from the elements = 0.2378 eV per atom
Calculated total energy = -24.52 eV/atom
DOS(E_F) = 1.80 states/eV/f.u.
Magnetic moment = 0.0 μB/f.u.


# 5
A PBEsol-optimized structure of LiTaBe2, computed with SCAN.

```
LiTaBe2
1.0
2.437 0.000 0.000
0.000 4.578 0.007
-1.219 -1.392 4.515
Ta Be Li
1 2 1
direct
0.277 0.817 0.555
0.717 0.286 0.435
0.029 0.963 0.057
0.476 0.433 0.953
```

Calculated values
Formation energy from the elements = 0.2230 eV per atom
Calculated total energy = -19.20 eV/atom
DOS(E_F) = 1.55 states/eV/f.u.
Magnetic moment = 0.0 μB/f.u.


# 6
A PBEsol-optimized structure of MgSb2F, computed with SCAN.

```
MgSb2F
1.0
4.816 0.000 0.000
2.408 4.171 0.000
2.408 1.390 3.932
Sb F Mg
2 1 1
direct
0.750 0.750 0.750
0.250 0.250 0.250
0.000 0.000 0.000
0.500 0.500 0.500
```

Calculated values
Calculated total energy = -21.34 eV/atom
DOS(E_F) = 1.53 states/eV/f.u.
Formation energy from raw total energies = -2.309 eV per formula unit
Magnetic moment = 0.0 μB/f.u.


# 7
A PBEsol-optimized structure of HfZrMo2, computed with SCAN.

```
HfZrMo2
1.0
4.648 0.000 0.000
2.324 4.025 0.000
2.324 1.342 3.795
Hf Mo Zr
1 2 1
direct
0.500 0.500 0.500
0.750 0.750 0.750
0.250 0.250 0.250
0.000 0.000 0.000
```

Calculated values
Formation energy from the elements = 0.0529 eV per atom
Calculated total energy = -40.73 eV/atom
DOS(E_F) = 7.06 states/eV/f.u.
Magnetic moment = 0.0 μB/f.u.


# 8
A PBEsol-optimized structure of RbReO3, computed with SCAN.

```
RbReO3
1.0
-2.995 0.197 -3.038
0.964 -3.980 -1.209
-2.887 -1.533 2.747
O Re Rb
3 1 1
direct
0.000 0.500 0.000
0.000 0.000 0.500
0.500 0.000 0.000
0.500 0.500 0.500
0.000 0.000 0.000
```

Calculated values
Calculated total energy = -20.14 eV/atom
DOS(E_F) = 3.92 states/eV/f.u.
Formation energy from raw total energies = 9.806 eV per formula unit
Magnetic moment = 4.5 μB/f.u.


# 9
A PBEsol-optimized structure of MnTlSi2, computed with SCAN.

```
MnTlSi2
1.0
-0.609 -1.693 -2.469
-0.825 -2.327 1.799
-6.627 2.362 0.016
Mn Tl Si
1 1 2
direct
0.500 0.500 0.838
0.000 0.000 0.531
0.000 0.000 0.962
0.500 0.500 0.170
```

Calculated values
ΔE to the lowest computed polymorph = 129 meV/atom
Calculated total energy = -27.27 eV/atom
DOS(E_F) = 1.66 states/eV/f.u.
Formation energy from raw total energies = 1.563 eV per formula unit
Magnetic moment = 2.4 μB/f.u.


# 10
A PBEsol-optimized structure of CaCoAu2, computed with SCAN.

```
CaCoAu2
1.0
-0.556 3.192 1.150
-1.907 0.670 -2.781
-5.015 -1.945 2.971
Ca Au Co
1 2 1
direct
0.000 0.000 0.498
0.500 0.500 0.229
0.000 0.000 0.967
0.500 0.500 0.806
```

Calculated values
Formation energy from the elements = -0.2322 eV per atom
ΔE to the lowest computed polymorph = 57 meV/atom
Calculated total energy = -41.55 eV/atom
DOS(E_F) = 2.37 states/eV/f.u.
Magnetic moment = 1.8 μB/f.u.


# 11
A PBEsol-optimized structure of AgSbRu2, computed with SCAN.

```
AgSbRu2
1.0
4.001 0.000 0.000
0.000 4.001 0.000
-2.000 -2.000 3.918
Sb Ru Ag
1 2 1
direct
0.500 0.500 0.000
0.000 0.000 0.000
0.750 0.250 0.500
0.250 0.750 0.500
```

Calculated values
Calculated total energy = -34.12 eV/atom
DOS(E_F) = 3.41 states/eV/f.u.
Formation energy from raw total energies = 1.787 eV per formula unit
Magnetic moment = 1.5 μB/f.u.


# 12
A PBEsol-optimized structure of NiSb2TeN, computed with SCAN.

```
NiSb2TeN
1.0
4.501 0.000 0.000
0.000 4.639 0.000
0.000 0.000 4.639
Sb Ni N Te
2 1 1 1
direct
0.000 0.000 0.500
0.000 0.500 0.000
0.500 0.500 0.500
0.000 0.000 0.000
0.500 0.000 0.000
```

Calculated values
ΔE to the lowest computed polymorph = 0 meV/atom
Calculated total energy = -26.48 eV/atom
DOS(E_F) = 3.09 states/eV/f.u.
Formation energy from raw total energies = 4.848 eV per formula unit
Magnetic moment = 0.0 μB/f.u.


Q: Which of these has the lowest calculated total energy?
A: CaCoAu2